No. 1
{
  "formula": "LiErThPt",
  "functional": "GGA-PBE",
  "state": "optimized geometry",
  "sg": "F-43m",
  "delta_e_f_mev_per_atom": -511.6,
  "dft_energy_ry_per_atom": -0.4039,
  "lattice_angstrom": [[0.0000, 3.5771, 3.5771], [3.5771, 0.0000, 3.5771], [3.5771, 3.5771, 0.0000]],
  "species": ["Li", "Er", "Th", "Pt"],
  "frac_coords": [[0.0000, 0.0000, 0.0000], [0.2500, 0.2500, 0.2500], [0.7500, 0.7500, 0.7500], [0.5000, 0.5000, 0.5000]]
}

---

No. 2
{
  "formula": "V6GaSi",
  "functional": "GGA-PBE",
  "state": "optimized geometry",
  "sg": "Amm2",
  "polymorph_energy_ev_per_atom": 0.023,
  "dft_energy_ry_per_atom": -0.6016,
  "raw_formation_energy_ev_per_atom": -0.290,
  "lattice_angstrom": [[4.2777, 0.0000, 0.0000], [0.0000, 2.8447, 4.3912], [0.0000, -2.8447, 4.3912]],
  "species": ["V", "V", "V", "V", "V", "V", "Ga", "Si"],
  "frac_coords": [[0.0000, 0.0000, 0.0000], [0.0000, 0.0206, 0.5014], [0.0000, 0.5014, 0.0206], [0.5000, 0.2248, 0.7201], [0.5000, 0.7201, 0.2248], [0.5000, 0.7355, 0.7355], [0.0000, 0.5241, 0.5241], [0.5000, 0.2108, 0.2108]]
}

---

No. 3
{
  "formula": "TbPm2Hg",
  "functional": "GGA-PBE",
  "state": "optimized geometry",
  "sg": "R3m",
  "polymorph_energy_ev_per_atom": 0.089,
  "delta_e_f_mev_per_atom": -139.3,
  "dft_energy_ry_per_atom": -0.2754,
  "lattice_angstrom": [[1.8481, 1.0670, 10.7308], [-1.8481, 1.0670, 10.7308], [0.0000, -2.1340, 10.7308]],
  "species": ["Tb", "Pm", "Pm", "Hg"],
  "frac_coords": [[0.0000, 0.0000, 0.0000], [0.2433, 0.2433, 0.2433], [0.4230, 0.4230, 0.4230], [0.8331, 0.8331, 0.8331]]
}

---

No. 4
{
  "formula": "La5Sm4Tl2",
  "functional": "GGA-PBE",
  "state": "optimized geometry",
  "sg": "Immm",
  "delta_e_f_mev_per_atom": 64.7,
  "dft_energy_ry_per_atom": -0.3176,
  "lattice_angstrom": [[-1.8204, 4.9334, 11.0952], [1.8204, -4.9334, 11.0952], [1.8204, 4.9334, -11.0952]],
  "species": ["La", "La", "La", "La", "La", "Sm", "Sm", "Sm", "Sm", "Tl", "Tl"],
  "frac_coords": [[0.0000, 0.0000, 0.0000], [0.0536, 0.3453, 0.7083], [0.3630, 0.6547, 0.7083], [0.6370, 0.3453, 0.2917], [0.9464, 0.6547, 0.2917], [0.2907, 0.5000, 0.7907], [0.4116, 0.9116, 0.5000], [0.5884, 0.0884, 0.5000], [0.7093, 0.5000, 0.2093], [0.2719, 0.7719, 0.5000], [0.7281, 0.2281, 0.5000]]
}

---

No. 5
{
  "formula": "LiHgPb2",
  "functional": "GGA-PBE",
  "state": "optimized geometry",
  "sg": "I-4m2",
  "delta_e_f_mev_per_atom": -117.8,
  "dft_energy_ry_per_atom": -0.1856,
  "lattice_angstrom": [[-2.3276, 2.3276, 4.7988], [2.3276, -2.3276, 4.7988], [2.3276, 2.3276, -4.7988]],
  "species": ["Li", "Hg", "Pb", "Pb"],
  "frac_coords": [[0.0000, 0.0000, 0.0000], [0.7500, 0.2500, 0.5000], [0.2500, 0.7500, 0.5000], [0.5000, 0.5000, 0.0000]]
}

---

No. 6
{
  "formula": "PrDyScHg",
  "functional": "GGA-PBE",
  "state": "optimized geometry",
  "sg": "F-43m",
  "delta_e_f_mev_per_atom": -81.6,
  "dft_energy_ry_per_atom": -0.3003,
  "lattice_angstrom": [[0.0000, 3.8155, 3.8155], [3.8155, 0.0000, 3.8155], [3.8155, 3.8155, 0.0000]],
  "species": ["Pr", "Dy", "Sc", "Hg"],
  "frac_coords": [[0.0000, 0.0000, 0.0000], [0.5000, 0.5000, 0.5000], [0.7500, 0.7500, 0.7500], [0.2500, 0.2500, 0.2500]]
}

---

No. 7
{
  "formula": "Y2SnCl",
  "functional": "GGA-PBE",
  "state": "optimized geometry",
  "sg": "I-42d",
  "polymorph_energy_ev_per_atom": 0.316,
  "dft_energy_ry_per_atom": -0.3887,
  "raw_formation_energy_ev_per_atom": -0.594,
  "lattice_angstrom": [[-3.1022, 3.1022, 7.1981], [3.1022, -3.1022, 7.1981], [3.1022, 3.1022, -7.1981]],
  "species": ["Y", "Y", "Y", "Y", "Sn", "Sn", "Cl", "Cl"],
  "frac_coords": [[0.0961, 0.6250, 0.9711], [0.3750, 0.3461, 0.4711], [0.6539, 0.1250, 0.0289], [0.8750, 0.9039, 0.5289], [0.2500, 0.7500, 0.5000], [0.5000, 0.5000, 0.0000], [0.0000, 0.0000, 0.0000], [0.7500, 0.2500, 0.5000]]
}

---

No. 8
{
  "formula": "Pm4DyTm15",
  "functional": "GGA-PBE",
  "state": "optimized geometry",
  "sg": "P4/mmm",
  "delta_e_f_mev_per_atom": 25.9,
  "dft_energy_ry_per_atom": -0.3313,
  "lattice_angstrom": [[4.9861, 0.0000, 0.0000], [0.0000, 4.9861, 0.0000], [0.0000, 0.0000, 24.8438]],
  "species": ["Pm", "Pm", "Pm", "Pm", "Dy", "Tm", "Tm", "Tm", "Tm", "Tm", "Tm", "Tm", "Tm", "Tm", "Tm", "Tm", "Tm", "Tm", "Tm", "Tm"],
  "frac_coords": [[0.0000, 0.0000, 0.1003], [0.0000, 0.0000, 0.3004], [0.0000, 0.0000, 0.6996], [0.0000, 0.0000, 0.8997], [0.0000, 0.0000, 0.5000], [0.0000, 0.5000, 0.0000], [0.0000, 0.5000, 0.2005], [0.0000, 0.5000, 0.4011], [0.0000, 0.5000, 0.5989], [0.0000, 0.5000, 0.7995], [0.5000, 0.0000, 0.0000], [0.5000, 0.0000, 0.2005], [0.5000, 0.0000, 0.4011], [0.5000, 0.0000, 0.5989], [0.5000, 0.0000, 0.7995], [0.5000, 0.5000, 0.1002], [0.5000, 0.5000, 0.3009], [0.5000, 0.5000, 0.5000], [0.5000, 0.5000, 0.6991], [0.5000, 0.5000, 0.8998]]
}

---

No. 9
{
  "formula": "Y5As",
  "functional": "GGA-PBE",
  "state": "optimized geometry",
  "sg": "P4/mmm",
  "delta_e_f_mev_per_atom": -369.4,
  "dft_energy_ry_per_atom": -0.4800,
  "lattice_angstrom": [[3.6878, 0.0000, 0.0000], [0.0000, 3.6878, 0.0000], [0.0000, 0.0000, 12.8901]],
  "species": ["Y", "Y", "Y", "Y", "Y", "As"],
  "frac_coords": [[0.0000, 0.0000, 0.0000], [0.0000, 0.0000, 0.3760], [0.0000, 0.0000, 0.6240], [0.5000, 0.5000, 0.1890], [0.5000, 0.5000, 0.8110], [0.5000, 0.5000, 0.5000]]
}

---

No. 10
{
  "formula": "Rb3PrHo2Se6",
  "functional": "GGA-PBE",
  "state": "optimized geometry",
  "sg": "C2/m",
  "dft_energy_ry_per_atom": -0.3584,
  "raw_formation_energy_ev_per_atom": -1.731,
  "lattice_angstrom": [[3.7128, -6.4312, 0.0000], [3.7128, 6.4312, 0.0000], [-2.4786, 0.0000, 8.0059]],
  "species": ["Rb", "Rb", "Rb", "Pr", "Ho", "Ho", "Se", "Se", "Se", "Se", "Se", "Se"],
  "frac_coords": [[0.0000, 0.0000, 0.0000], [0.3351, 0.6649, 0.0000], [0.6649, 0.3351, 0.0000], [0.5000, 0.5000, 0.5000], [0.1668, 0.8332, 0.5000], [0.8332, 0.1668, 0.5000], [0.0902, 0.4342, 0.3027], [0.2217, 0.2217, 0.6968], [0.4342, 0.0902, 0.3027], [0.5658, 0.9098, 0.6973], [0.7783, 0.7783, 0.3032], [0.9098, 0.5658, 0.6973]]
}

---

No. 11
{
  "formula": "BeZn2Tc",
  "functional": "GGA-PBE",
  "state": "optimized geometry",
  "sg": "Pm",
  "delta_e_f_mev_per_atom": 29.4,
  "dft_energy_ry_per_atom": -0.3036,
  "lattice_angstrom": [[2.6435, 0.0000, 0.0000], [0.0000, 3.8673, 0.0000], [-1.2954, 0.0000, 5.0876]],
  "species": ["Be", "Zn", "Zn", "Tc"],
  "frac_coords": [[0.0000, 0.0000, 0.0000], [0.2270, 0.0000, 0.4610], [0.8529, 0.5000, 0.7064], [0.5827, 0.5000, 0.1722]]
}

---

No. 12
{
  "formula": "CeTmBiPb",
  "functional": "GGA-PBE",
  "state": "optimized geometry",
  "sg": "F-43m",
  "delta_e_f_mev_per_atom": -427.8,
  "dft_energy_ry_per_atom": -0.3621,
  "lattice_angstrom": [[0.0000, 3.8850, 3.8850], [3.8850, 0.0000, 3.8850], [3.8850, 3.8850, 0.0000]],
  "species": ["Ce", "Tm", "Bi", "Pb"],
  "frac_coords": [[0.0000, 0.0000, 0.0000], [0.5000, 0.5000, 0.5000], [0.7500, 0.7500, 0.7500], [0.2500, 0.2500, 0.2500]]
}